Entry 1:
First-principles (PBE) data for crystalline Na2Hf at its relaxed geometry, as listed in the Open Quantum Materials Database.

```
12
Lattice="5.950 0.000 0.000 -2.975 5.153 0.000 0.000 0.000 9.321" Properties=species:S:1:pos:R:3 pbc="T T T"
Na 0.000 0.000 0.000
Na 0.000 0.000 4.661
Na 0.000 1.793 2.330
Na -1.422 4.256 2.330
Na 1.552 0.896 6.991
Na 1.422 4.256 2.330
Na 4.397 0.896 6.991
Na 2.975 3.360 6.991
Hf 0.000 3.435 5.296
Hf 0.000 3.435 8.686
Hf 2.975 1.718 0.635
Hf 2.975 1.718 4.025
```

Values from the calculation:
Space-group type   P6_3/mmc
E above lowest polymorph   0 meV per atom

***

Entry 2:
First-principles (PBE) data for crystalline LaEr at its relaxed geometry, as listed in the Open Quantum Materials Database.

```
2
Lattice="3.662 0.000 0.000 -1.831 3.171 0.000 0.000 0.000 5.849" Properties=species:S:1:pos:R:3 pbc="T T T"
La 0.000 0.000 0.000
Er 0.000 2.114 2.924
```

Values from the calculation:
Space-group type   P-6m2
E above lowest polymorph   0 meV per atom

***

Entry 3:
First-principles (PBE) data for crystalline Pr5ZnPb3 at its relaxed geometry, as listed in the Open Quantum Materials Database.

```
18
Lattice="9.723 0.000 0.000 -4.862 8.420 0.000 0.000 0.000 6.809" Properties=species:S:1:pos:R:3 pbc="T T T"
Pr -1.306 2.262 1.702
Pr -3.556 6.159 5.107
Pr 2.612 0.000 1.702
Pr 1.306 2.262 5.107
Pr 0.000 5.614 0.000
Pr 0.000 5.614 3.405
Pr 4.862 2.807 0.000
Pr 4.862 2.807 3.405
Pr 7.112 0.000 5.107
Pr 3.556 6.159 1.702
Zn 0.000 0.000 0.000
Zn 0.000 0.000 3.405
Pb -1.831 3.172 5.107
Pb -3.030 5.249 1.702
Pb 3.662 0.000 5.107
Pb 1.831 3.172 1.702
Pb 6.061 0.000 1.702
Pb 3.030 5.249 5.107
```

Values from the calculation:
Space-group type   P6_3/mcm
Final energy   -4.56 eV/atom

***

| no. | size of the total moment (μB/atom) |
| --- | --- |
| 1 | 0.42 |
| 2 | 0.01 |
| 3 | 0.07 |